## PmCuAs2Pd (GGA-PBE)

Data for a relaxed structure of PmCuAs2Pd.

POSCAR file:
```
PmCuAs2Pd
1.0
-1.337 1.725 3.454
-1.944 -3.459 0.975
6.256 -0.965 0.487
As Pm Pd Cu
2 1 1 1
Direct
0.619 0.619 0.238 As
0.381 0.381 0.762 As
0.000 0.000 0.000 Pm
0.750 0.250 0.500 Pd
0.250 0.750 0.500 Cu
```

Symmetry: No. 119
Energy relative to the elements (meV/atom): -711.1
Magnetization (μB per atom): 0.000
E (eV/cell): -26.89